## Zn2Cd2Ru (PBE)

Data for a geometry-optimized Zn2Cd2Ru structure.

Geometry as POSCAR:
```
Zn2Cd2Ru
1.0
6.6755 0.0000 0.0000
0.0000 6.6755 0.0000
0.0000 0.0000 3.9248
Zn Cd Ru
4 4 2
Direct
0.1344 0.3656 0.0000
0.3656 0.8656 0.0000
0.6344 0.1344 0.0000
0.8656 0.6344 0.0000
0.1748 0.6748 0.5000
0.3252 0.1748 0.5000
0.6748 0.8252 0.5000
0.8252 0.3252 0.5000
0.0000 0.0000 0.0000
0.5000 0.5000 0.0000
```

Output
The formation energy from the elements is 127 kJ/mol of formula units.


## CsInAg (PBE)

Data for a geometry-optimized CsInAg structure.

Geometry as POSCAR:
```
CsInAg
1.0
-1.9845 1.9845 6.7845
1.9845 -1.9845 6.7845
1.9845 1.9845 -6.7845
Cs In Ag
1 1 1
Direct
0.0000 0.0000 0.0000
0.2825 0.2825 0.0000
0.7190 0.7190 0.0000
```

Output
The formation energy from the elements is 12 kJ/mol of formula units. The value obtained for the energy above the most stable polymorph in this dataset is 74 meV/atom.


## NaInPd (PBE)

Data for a geometry-optimized NaInPd structure.

Geometry as POSCAR:
```
NaInPd
1.0
6.0605 0.0000 0.0000
0.0000 5.2836 0.0000
0.0000 0.0000 4.5431
Na In Pd
2 2 2
Direct
0.2500 0.0000 0.0070
0.7500 0.0000 0.9930
0.2500 0.5000 0.5007
0.7500 0.5000 0.4993
0.0000 0.5000 0.0000
0.5000 0.5000 0.0000
```

Output
The formation energy from the elements is -96 kJ/mol of formula units.


## AlRh (PBE)

Data for a geometry-optimized AlRh structure.

Geometry as POSCAR:
```
AlRh
1.0
-4.2390 4.2390 2.2816
4.2390 -4.2390 2.2816
4.2390 4.2390 -2.2816
Al Rh
4 4
Direct
0.1812 0.3108 0.4920
0.3108 0.8188 0.1297
0.6892 0.1812 0.8703
0.8188 0.6892 0.5080
0.1110 0.6094 0.7204
0.3906 0.1110 0.5017
0.6094 0.8890 0.4983
0.8890 0.3906 0.2796
```

Output
The formation energy from the elements is -83 kJ/mol of formula units.


## SnO2F2 (PBE)

Data for a geometry-optimized SnO2F2 structure.

Geometry as POSCAR:
```
SnO2F2
1.0
3.6374 0.0000 0.0000
0.0000 3.6374 0.0000
0.0000 0.0000 4.6271
Sn O F
1 2 2
Direct
0.0000 0.0000 0.0000
0.0000 0.5000 0.5000
0.5000 0.0000 0.5000
0.5000 0.5000 0.0000
0.5000 0.5000 0.5000
```

Output
As for the uncorrected formation energy: 29.4 meV/atom. The value obtained for the energy above the most stable polymorph in this dataset is 1031 meV/atom.


## Sr2Tl (PBE)

Data for a geometry-optimized Sr2Tl structure.

Geometry as POSCAR:
```
Sr2Tl
1.0
5.8284 0.0000 0.0000
0.0000 5.8284 0.0000
0.0000 0.0000 3.8716
Sr Tl
2 1
Direct
0.0000 0.5000 0.0000
0.5000 0.0000 0.0000
0.0000 0.0000 0.5000
```

Output
The formation energy from the elements is -64 kJ/mol of formula units.


## HgF3 (PBE)

Data for a geometry-optimized HgF3 structure.

Geometry as POSCAR:
```
HgF3
1.0
-1.9996 1.9996 7.3474
1.9996 -1.9996 7.3474
1.9996 1.9996 -7.3474
Hg F
2 6
Direct
0.0000 0.0000 0.0000
0.7500 0.2500 0.5000
0.0940 0.6250 0.9690
0.2500 0.7500 0.5000
0.3750 0.3440 0.4690
0.5000 0.5000 0.0000
0.6560 0.1250 0.0310
0.8750 0.9060 0.5310
```

Output
As for the uncorrected formation energy: -792.9 meV/atom. The value obtained for the energy above the most stable polymorph in this dataset is 315 meV/atom.


## TaNb2TcH (PBE)

Data for a geometry-optimized TaNb2TcH structure.

Geometry as POSCAR:
```
TaNb2TcH
1.0
3.9156 0.0000 0.0000
0.0000 3.9156 0.0000
0.0000 0.0000 4.7310
Ta Nb Tc H
1 2 1 1
Direct
0.0000 0.0000 0.0000
0.0000 0.5000 0.5000
0.5000 0.0000 0.5000
0.5000 0.5000 0.0000
0.0000 0.0000 0.5000
```

Output
The value obtained for the energy above the most stable polymorph in this dataset is 0 meV/atom.


## Sm2YTh3Sb6 (PBE)

Data for a geometry-optimized Sm2YTh3Sb6 structure.

Geometry as POSCAR:
```
Sm2YTh3Sb6
1.0
9.7526 -2.2418 0.0000
9.7526 2.2418 0.0000
-2.0182 0.0000 8.6971
Sm Y Th Sb
2 1 3 6
Direct
0.1665 0.1665 0.3331
0.8335 0.8335 0.6669
0.5000 0.5000 0.0000
0.1675 0.1675 0.8332
0.5000 0.5000 0.5000
0.8325 0.8325 0.1668
0.0002 0.0002 0.2447
0.9998 0.9998 0.7553
0.3328 0.3328 0.4186
0.3356 0.3356 0.9163
0.6644 0.6644 0.0837
0.6672 0.6672 0.5814
```

Output
As for the uncorrected formation energy: -1048.3 meV/atom.


## Nd3CdOs (PBE)

Data for a geometry-optimized Nd3CdOs structure.

Geometry as POSCAR:
```
Nd3CdOs
1.0
7.8824 0.0000 0.0000
0.0000 4.4658 0.0000
-2.3827 0.0000 8.5929
Nd Cd Os
6 2 2
Direct
0.0709 0.2500 0.2839
0.2937 0.2500 0.9268
0.3353 0.7500 0.5922
0.6647 0.2500 0.4078
0.7063 0.7500 0.0732
0.9291 0.7500 0.7161
0.3472 0.7500 0.2052
0.6528 0.2500 0.7948
0.1010 0.2500 0.6101
0.8990 0.7500 0.3899
```

Output
The formation energy from the elements is -48 kJ/mol of formula units. The value obtained for the energy above the most stable polymorph in this dataset is 88 meV/atom.


## Sr2RhAu (PBE)

Data for a geometry-optimized Sr2RhAu structure.

Geometry as POSCAR:
```
Sr2RhAu
1.0
-3.2693 3.2693 7.3316
3.2693 -3.2693 7.3316
3.2693 3.2693 -7.3316
Sr Rh Au
4 2 2
Direct
0.0796 0.6250 0.9546
0.3750 0.3296 0.4546
0.6704 0.1250 0.0454
0.8750 0.9204 0.5454
0.0000 0.0000 0.0000
0.7500 0.2500 0.5000
0.2500 0.7500 0.5000
0.5000 0.5000 0.0000
```

Output
The formation energy from the elements is 24 kJ/mol of formula units.


## Na3Sn4Bi2 (PBE)

Data for a geometry-optimized Na3Sn4Bi2 structure.

Geometry as POSCAR:
```
Na3Sn4Bi2
1.0
5.6148 0.0000 0.0000
2.8049 5.5061 0.0000
0.1277 2.3742 8.5451
Na Sn Bi
3 4 2
Direct
0.0000 0.0000 0.0000
0.4554 0.1023 0.6856
0.5446 0.8977 0.3144
0.1283 0.7543 0.6439
0.3081 0.3829 0.9898
0.6919 0.6171 0.0102
0.8717 0.2457 0.3561
0.2348 0.5182 0.3287
0.7652 0.4818 0.6713
```

Output
The formation energy from the elements is -105 kJ/mol of formula units. The value obtained for the energy above the most stable polymorph in this dataset is 60 meV/atom.


Number 1: magnetization 0.00 Bohr magnetons per cell. Number 2: magnetization 0.00 Bohr magnetons per cell. Number 3: magnetization 0.00 Bohr magnetons per cell. Number 4: magnetization 0.00 Bohr magnetons per cell. Number 5: magnetization 0.25 Bohr magnetons per cell. Number 6: magnetization 0.00 Bohr magnetons per cell. Number 7: magnetization 2.00 Bohr magnetons per cell. Number 8: magnetization 0.00 Bohr magnetons per cell. Number 9: magnetization 0.00 Bohr magnetons per cell. Number 10: magnetization 0.00 Bohr magnetons per cell. Number 11: magnetization 0.00 Bohr magnetons per cell. Number 12: magnetization 0.00 Bohr magnetons per cell.